Entry 1:
The following is a GGA-PBE calculation of an optimized crystal structure of NaU4Se5, from the Alexandria database.

Summary:
D(E_F) ... 26.71 states/eV/f.u.
Total energy ... -0.5445 Ry/atom
Magnetization ... 0.05 μB/f.u.
Raw formation energy ... -1.019 eV/atom
Crystal system ... tetragonal

Cell: 4.0685 4.0685 14.7492 Å, 97.93 97.93 90.00°
Last column: magnetic moment on the atom in μB.
Positions (direct):
Na: 0.0000 0.0000 0.0000  0.00
Se: 0.9007 0.9007 0.8015  0.05
Se: 0.0993 0.0993 0.1985  0.05
Se: 0.5000 0.5000 0.0000  0.06
Se: 0.3007 0.3007 0.6015  -0.04
Se: 0.6993 0.6993 0.3985  -0.04
U: 0.2012 0.2012 0.4024  2.41
U: 0.7988 0.7988 0.5976  2.41
U: 0.5993 0.5993 0.1986  -2.46
U: 0.4007 0.4007 0.8014  -2.46

---

Entry 2:
The following is a GGA-PBE calculation of an optimized crystal structure of Na5U3Se12, from the Alexandria database.

Summary:
D(E_F) ... 21.70 states/eV/f.u.
Total energy ... -0.3551 Ry/atom
Magnetization ... 0.08 μB/f.u.
Raw formation energy ... -0.717 eV/atom
Crystal system ... cubic

Cell: 14.2371 14.2371 14.2371 Å, 109.47 109.47 109.47°
Last column: magnetic moment on the atom in μB.
Positions (direct):
Se: 0.5769 0.9342 0.6718  -0.18
Se: 0.3573 0.9342 0.7623  -0.18
Se: 0.9231 0.8282 0.5658  -0.18
Se: 0.4231 0.0658 0.3282  -0.18
Se: 0.2377 0.5658 0.6427  -0.18
Se: 0.6427 0.5769 0.9051  -0.18
Se: 0.9342 0.5769 0.1718  -0.18
Se: 0.8573 0.2623 0.4342  -0.18
Se: 0.5658 0.3282 0.9231  -0.18
Se: 0.7623 0.4342 0.3573  -0.18
Se: 0.8282 0.9051 0.2623  -0.18
Se: 0.8282 0.9231 0.0658  -0.18
Se: 0.3573 0.4231 0.0949  -0.18
Se: 0.6427 0.0658 0.2377  -0.18
Se: 0.0949 0.1718 0.2377  -0.18
Se: 0.0769 0.1718 0.4342  -0.18
Se: 0.9051 0.8282 0.7623  -0.18
Se: 0.4051 0.2623 0.3282  -0.18
Se: 0.5658 0.2377 0.1427  -0.18
Se: 0.2377 0.6718 0.0949  -0.18
Se: 0.8573 0.5949 0.9231  -0.18
Se: 0.2623 0.8573 0.9342  -0.18
Se: 0.4051 0.1427 0.5769  -0.18
Se: 0.7623 0.3282 0.9051  -0.18
Se: 0.4342 0.7623 0.8573  -0.18
Se: 0.2623 0.4051 0.8282  -0.18
Se: 0.1718 0.0769 0.9342  -0.18
Se: 0.4342 0.6718 0.0769  -0.18
Se: 0.4231 0.3573 0.5949  -0.18
Se: 0.0658 0.6427 0.7377  -0.18
Se: 0.0658 0.4231 0.8282  -0.18
Se: 0.0769 0.9051 0.1427  -0.18
Se: 0.3282 0.5658 0.4231  -0.18
Se: 0.9231 0.0949 0.8573  -0.18
Se: 0.5949 0.7377 0.6718  -0.18
Se: 0.1427 0.7377 0.5658  -0.18
Se: 0.6718 0.2377 0.5949  -0.18
Se: 0.5949 0.8573 0.4231  -0.18
Se: 0.3282 0.7623 0.4051  -0.18
Se: 0.1427 0.4051 0.0769  -0.18
Se: 0.7377 0.5949 0.1718  -0.18
Se: 0.6718 0.4342 0.5769  -0.18
Se: 0.0949 0.9231 0.3573  -0.18
Se: 0.7377 0.1427 0.0658  -0.18
Se: 0.5769 0.6427 0.4051  -0.18
Se: 0.9051 0.0769 0.6427  -0.18
Se: 0.9342 0.3573 0.2623  -0.18
Se: 0.1718 0.0949 0.7377  -0.18
Na: 0.6250 0.8750 0.2500  0.00
Na: 0.0000 0.0000 0.5000  -0.01
Na: 0.3750 0.1250 0.7500  0.00
Na: 0.2500 0.3750 0.6250  0.00
Na: 0.8750 0.2500 0.6250  0.00
Na: 0.5000 0.0000 0.0000  -0.01
Na: 0.7500 0.6250 0.3750  0.00
Na: 0.2500 0.8750 0.1250  0.00
Na: 0.1250 0.7500 0.3750  0.00
Na: 0.3750 0.2500 0.1250  0.00
Na: 0.5000 0.5000 0.0000  -0.01
Na: 0.5000 0.0000 0.5000  -0.01
Na: 0.1250 0.3750 0.2500  0.00
Na: 0.8750 0.6250 0.7500  0.00
Na: 0.0000 0.0000 0.0000  -0.01
Na: 0.6250 0.7500 0.8750  0.00
Na: 0.5000 0.5000 0.5000  -0.01
Na: 0.0000 0.5000 0.5000  -0.01
Na: 0.0000 0.5000 0.0000  -0.01
Na: 0.7500 0.1250 0.8750  0.00
U: 0.1250 0.2500 0.8750  1.09
U: 0.7500 0.8750 0.6250  1.09
U: 0.6250 0.3750 0.7500  1.09
U: 0.3750 0.7500 0.6250  1.09
U: 0.8750 0.7500 0.1250  1.09
U: 0.8750 0.1250 0.2500  1.09
U: 0.2500 0.1250 0.3750  1.09
U: 0.1250 0.8750 0.7500  1.09
U: 0.3750 0.6250 0.2500  1.09
U: 0.6250 0.2500 0.3750  1.09
U: 0.7500 0.3750 0.1250  1.09
U: 0.2500 0.6250 0.8750  1.09

---

Entry 3:
The following is a GGA-PBE calculation of an optimized crystal structure of Na4U3Se8, from the Alexandria database.

Summary:
D(E_F) ... 14.10 states/eV/f.u.
Excess energy over the best structure of this formula in the dataset ... 0 meV/atom
Total energy ... -0.4143 Ry/atom
Magnetization ... 6.00 μB/f.u.
Raw formation energy ... -1.169 eV/atom
Crystal system ... trigonal

Cell: 8.3631 8.3631 8.9209 Å, 62.05 62.05 60.00°
Last column: magnetic moment on the atom in μB.
Positions (direct):
U: 0.0000 0.0000 0.5000  2.11
U: 0.5000 0.0000 0.5000  2.11
U: 0.0000 0.5000 0.5000  2.11
Na: 0.6400 0.6400 0.0801  0.00
Na: 0.3600 0.3600 0.9199  0.00
Na: 0.5000 0.5000 0.5000  0.00
Na: 0.0000 0.0000 0.0000  0.00
Se: 0.2184 0.7468 0.2879  -0.07
Se: 0.2532 0.2532 0.7121  -0.07
Se: 0.7653 0.7653 0.7040  -0.06
Se: 0.7468 0.7468 0.2879  -0.07
Se: 0.7816 0.2532 0.7121  -0.07
Se: 0.2532 0.7816 0.7121  -0.07
Se: 0.2347 0.2347 0.2960  -0.06
Se: 0.7468 0.2184 0.2879  -0.07

---

Entry 4:
The following is a GGA-PBE calculation of an optimized crystal structure of Na4U3Se8, from the Alexandria database.

Summary:
D(E_F) ... 19.12 states/eV/f.u.
Excess energy over the best structure of this formula in the dataset ... 98 meV/atom
Total energy ... -0.4071 Ry/atom
Magnetization ... 1.10 μB/f.u.
Raw formation energy ... -1.071 eV/atom
Crystal system ... triclinic

Cell: 8.2510 8.3388 8.3840 Å, 89.33 121.07 120.83°
Last column: magnetic moment on the atom in μB.
Positions (direct):
U: 0.5000 0.5000 0.5000  1.52
U: 0.5000 0.5000 0.0000  -2.42
U: 0.5000 0.0000 0.5000  2.27
Se: 0.5003 0.7472 0.2555  -0.02
Se: 0.4997 0.2528 0.7445  -0.02
Se: 0.4819 0.7347 0.7313  -0.03
Se: 0.9631 0.7325 0.7326  -0.07
Se: 0.0369 0.2675 0.2674  -0.07
Se: 0.5181 0.2653 0.2687  -0.03
Se: 0.9977 0.2508 0.7469  -0.01
Se: 0.0023 0.7492 0.2531  -0.01
Na: 0.0000 0.0000 0.0000  0.00
Na: 0.0000 0.5000 0.0000  0.00
Na: 0.5000 0.0000 0.0000  0.00
Na: 0.0000 0.0000 0.5000  0.00

---

Entry 5:
The following is a GGA-PBE calculation of an optimized crystal structure of Na2U2Se5, from the Alexandria database.

Summary:
D(E_F) ... 8.38 states/eV/f.u.
Excess energy over the best structure of this formula in the dataset ... 0 meV/atom
Total energy ... -0.4347 Ry/atom
Magnetization ... 4.00 μB/f.u.
Raw formation energy ... -1.177 eV/atom
Crystal system ... orthorhombic

Cell: 7.8211 7.7841 8.3748 Å, 117.69 90.00 90.00°
Last column: magnetic moment on the atom in μB.
Positions (direct):
Se: 0.1475 0.4768 0.2507  -0.09
Se: 0.0000 0.0000 0.0000  -0.10
Se: 0.8525 0.5232 0.7493  -0.09
Se: 0.1475 0.2261 0.7493  -0.09
Se: 0.6475 0.2739 0.2507  -0.09
Se: 0.3525 0.7261 0.7493  -0.09
Se: 0.3525 0.9768 0.2507  -0.09
Se: 0.6475 0.0232 0.7493  -0.09
Se: 0.8525 0.7739 0.2507  -0.09
Se: 0.5000 0.5000 0.0000  -0.10
Na: 0.0000 0.2027 0.4055  0.00
Na: 0.0000 0.7973 0.5945  0.00
Na: 0.5000 0.7027 0.4055  0.00
Na: 0.5000 0.2973 0.5945  0.00
U: 0.6577 0.8431 0.0000  2.13
U: 0.3423 0.1569 0.0000  2.13
U: 0.8423 0.3431 0.0000  2.13
U: 0.1577 0.6569 0.0000  2.13

---

Entry 6:
The following is a GGA-PBE calculation of an optimized crystal structure of Na2U2Se5, from the Alexandria database.

Summary:
D(E_F) ... 7.36 states/eV/f.u.
Excess energy over the best structure of this formula in the dataset ... 299 meV/atom
Total energy ... -0.4127 Ry/atom
Magnetization ... 4.00 μB/f.u.
Raw formation energy ... -0.878 eV/atom
Crystal system ... orthorhombic

Cell: 6.3008 6.3008 8.6017 Å, 106.80 106.80 102.18°
Last column: magnetic moment on the atom in μB.
Positions (direct):
Se: 0.8711 0.3711 0.7422  -0.08
Se: 0.0000 0.0000 0.0000  -0.08
Se: 0.3711 0.8711 0.7422  -0.08
Se: 0.6289 0.1289 0.2578  -0.08
Se: 0.1289 0.6289 0.2578  -0.08
U: 0.7296 0.2705 0.0000  2.07
U: 0.2705 0.7295 0.0000  2.07
Na: 0.1935 0.1935 0.3870  0.00
Na: 0.8065 0.8065 0.6130  0.00

---

Entry 7:
The following is a GGA-PBE calculation of an optimized crystal structure of Na5USe5, from the Alexandria database.

Summary:
D(E_F) ... 1.47 states/eV/f.u.
Total energy ... -0.3195 Ry/atom
Magnetization ... 1.00 μB/f.u.
Raw formation energy ... -1.137 eV/atom
Crystal system ... monoclinic

Cell: 5.7202 7.5109 8.2770 Å, 106.83 90.00 112.38°
Last column: magnetic moment on the atom in μB.
Positions (direct):
Na: 0.0000 0.0000 0.5000  0.00
Na: 0.6936 0.3872 0.3241  0.00
Na: 0.3159 0.6319 0.1379  0.00
Na: 0.6841 0.3681 0.8621  0.00
Na: 0.3064 0.6128 0.6759  0.00
Se: 0.8479 0.6957 0.6889  -0.04
Se: 0.5000 0.0000 0.0000  -0.05
Se: 0.8584 0.7169 0.1695  -0.04
Se: 0.1416 0.2831 0.8305  -0.04
Se: 0.1521 0.3043 0.3111  -0.04
U: 0.0000 0.0000 0.0000  1.29

---

Entry 8:
The following is a GGA-PBE calculation of an optimized crystal structure of NaU2Se5, from the Alexandria database.

Summary:
D(E_F) ... 8.94 states/eV/f.u.
Total energy ... -0.4581 Ry/atom
Magnetization ... 3.00 μB/f.u.
Raw formation energy ... -1.068 eV/atom
Crystal system ... orthorhombic

Cell: 5.5933 7.3442 13.6892 Å, 90.00 90.00 112.38°
Last column: magnetic moment on the atom in μB.
Positions (direct):
U: 0.1422 0.2844 0.5548  1.70
U: 0.1422 0.2844 0.9452  1.70
U: 0.8578 0.7156 0.0548  1.70
U: 0.8578 0.7156 0.4452  1.70
Se: 0.9536 0.9073 0.6201  -0.09
Se: 0.3291 0.6582 0.4584  -0.07
Se: 0.7969 0.5938 0.2500  -0.07
Se: 0.9536 0.9073 0.8799  -0.09
Se: 0.0464 0.0927 0.1201  -0.09
Se: 0.3291 0.6582 0.0416  -0.07
Se: 0.0464 0.0927 0.3799  -0.09
Se: 0.6709 0.3418 0.9584  -0.07
Se: 0.2031 0.4062 0.7500  -0.07
Se: 0.6709 0.3418 0.5416  -0.07
Na: 0.7756 0.5512 0.7500  0.00
Na: 0.2244 0.4488 0.2500  0.00

---

Entry 9:
The following is a GGA-PBE calculation of an optimized crystal structure of Na4USe5, from the Alexandria database.

Summary:
Total energy ... -0.3308 Ry/atom
Magnetization ... 0.00 μB/f.u.
Raw formation energy ... -1.102 eV/atom
Crystal system ... tetragonal

Cell: 5.7859 7.3097 7.3097 Å, 80.99 66.69 66.69°
Positions (direct):
Se: 0.9178 0.3522 0.8144
Se: 0.2699 0.8144 0.6478
Se: 0.7321 0.1856 0.3522
Se: 0.5011 0.0000 0.0000
Se: 0.0843 0.6478 0.1856
Na: 0.8016 0.8008 0.5981
Na: 0.3997 0.4019 0.8008
Na: 0.6024 0.5981 0.1992
Na: 0.2005 0.1992 0.4019
U: 0.0011 0.0000 0.0000

---

Entry 10:
The following is a GGA-PBE calculation of an optimized crystal structure of Na7USe6, from the Alexandria database.

Summary:
Total energy ... -0.2976 Ry/atom
Magnetization ... 1.00 μB/f.u.
Raw formation energy ... -1.090 eV/atom
Crystal system ... trigonal

Cell: 8.2556 8.2556 8.1681 Å, 59.64 59.64 60.00°
Last column: magnetic moment on the atom in μB.
Positions (direct):
Na: 0.7209 0.4818 0.6832  0.00
Na: 0.4917 0.9438 0.3238  0.00
Na: 0.6550 0.6550 0.0350  0.00
Na: 0.2408 0.4917 0.3238  0.00
Na: 0.1141 0.7209 0.6832  0.00
Na: 0.9438 0.2408 0.3238  0.00
Na: 0.4818 0.1141 0.6832  0.00
Se: 0.3587 0.7941 0.7764  -0.04
Se: 0.6516 0.2273 0.2342  -0.03
Se: 0.8868 0.6516 0.2342  -0.03
Se: 0.0708 0.3587 0.7764  -0.04
Se: 0.2273 0.8868 0.2342  -0.03
Se: 0.7941 0.0708 0.7764  -0.04
U: 0.9982 0.9982 0.0055  1.31

---

Entry 11:
The following is a GGA-PBE calculation of an optimized crystal structure of Na5USe4, from the Alexandria database.

Summary:
D(E_F) ... 3.59 states/eV/f.u.
Total energy ... -0.3098 Ry/atom
Magnetization ... 2.99 μB/f.u.
Raw formation energy ... -1.033 eV/atom
Crystal system ... monoclinic

Cell: 4.4525 7.9070 9.2191 Å, 115.21 103.97 90.00°
Last column: magnetic moment on the atom in μB.
Positions (direct):
Se: 0.0002 0.7514 0.0004  -0.03
Se: 0.3083 0.8076 0.6167  -0.01
Se: 0.6917 0.1924 0.3833  -0.01
Se: 0.9998 0.2486 0.9996  -0.03
Na: 0.5000 0.5000 0.0000  0.00
Na: 0.1757 0.4085 0.3513  0.00
Na: 0.8243 0.5915 0.6487  0.00
Na: 0.8240 0.0544 0.6480  0.00
Na: 0.1760 0.9456 0.3520  0.00
U: 0.5000 0.0000 0.0000  2.80

---

Entry 12:
The following is a GGA-PBE calculation of an optimized crystal structure of NaU3Se4, from the Alexandria database.

Summary:
D(E_F) ... 15.31 states/eV/f.u.
Total energy ... -0.5288 Ry/atom
Magnetization ... 8.95 μB/f.u.
Raw formation energy ... -1.055 eV/atom
Crystal system ... orthorhombic

Cell: 3.9784 7.1650 7.1650 Å, 72.21 90.01 90.01°
Last column: magnetic moment on the atom in μB.
Positions (direct):
Se: 0.4999 0.2520 0.7519  -0.06
Se: 0.0000 0.7497 0.7504  -0.05
Se: 0.4999 0.7482 0.2481  -0.06
Se: 0.0000 0.2506 0.2495  -0.05
U: 0.9999 0.5001 0.5000  2.63
U: 0.9999 0.0001 0.0000  2.63
U: 0.5000 0.0001 0.5000  2.70
Na: 0.5000 0.5002 0.9999  0.00

---

> Look up the raw formation energy of the third one.

-1.169 eV/atom